(1)
Density functional theory data (GGA-PBE) for a relaxed HfZnPO2 crystal.

Cell lengths 3.9660, 3.9660, 5.5958 Å; angles 90.00, 90.00, 90.00 degrees
Last column: nearest neighbours and their distance in Å.
Space group P4/mmm (No. 123)
Symmetry-distinct sites (fractional):
1 Hf 0.0000 0.0000 0.0000 [1 per cell]  4 O 1.98
2 Zn 0.5000 0.5000 0.5000 [1 per cell]  4 P 2.80
3 P 0.0000 0.0000 0.5000 [1 per cell]  2 Hf 2.80, 4 Zn 2.80
4 O 0.0000 0.5000 0.0000 [2 per cell]  2 Hf 1.98

Computed properties:
energy above the most stable polymorph in this dataset	0	meV per atom
V	88.0	Å³/cell
formation energy (no corrections)	-1369	meV per atom

---

(2)
Density functional theory data (GGA-PBE) for a relaxed HfZnPO2 crystal.

Cell lengths 3.8495, 3.8495, 4.6016 Å; angles 90.00, 90.00, 90.00 degrees
Last column: nearest neighbours and their distance in Å.
Space group P4/mmm (No. 123)
Symmetry-distinct sites (fractional):
1 Hf 0.0000 0.0000 0.0000 [1 per cell]  4 P 2.72, 8 O 3.00
2 Zn 0.5000 0.5000 0.5000 [1 per cell]  4 O 1.92
3 P 0.5000 0.5000 0.0000 [1 per cell]  2 Zn 2.30
4 O 0.0000 0.5000 0.5000 [2 per cell]  2 Zn 1.92

Computed properties:
energy above the most stable polymorph in this dataset	850	meV per atom
V	68.2	Å³/cell
formation energy (no corrections)	-519	meV per atom

---

(3)
Density functional theory data (GGA-PBE) for a relaxed HfZrP2O crystal.

Cell lengths 5.0008, 5.0008, 3.8885 Å; angles 90.00, 90.00, 90.00 degrees
Last column: nearest neighbours and their distance in Å.
Space group P4/mmm (No. 123)
Symmetry-distinct sites (fractional):
1 Hf 0.0000 0.0000 0.0000 [1 per cell]  2 O 1.94
2 Zr 0.5000 0.5000 0.5000 [1 per cell]  8 P 3.17, 4 O 3.54
3 P 0.0000 0.5000 0.0000 [2 per cell]  2 Hf 2.50
4 O 0.0000 0.0000 0.5000 [1 per cell]  2 Hf 1.94

Computed properties:
energy above the most stable polymorph in this dataset	0	meV per atom
V	97.2	Å³/cell
formation energy (no corrections)	-912	meV per atom